(1)
The following is a DFT calculation (PBEsol) of a geometry-optimized AlHgN2 structure.

The structure in CIF format:
```
data_AlHgN2
_chemical_formula_sum 'Al1 Hg1 N2'
_cell_length_a 3.037
_cell_length_b 3.037
_cell_length_c 6.354
_cell_angle_alpha 76.17
_cell_angle_beta 76.17
_cell_angle_gamma 60.00
_symmetry_space_group_name_H-M 'P 1'
_symmetry_Int_Tables_number 1
loop_
_symmetry_equiv_pos_as_xyz
'x,y,z'
loop_
_atom_site_label
_atom_site_fract_x
_atom_site_fract_y
_atom_site_fract_z
Al1 0.500 0.500 0.500
N1 0.111 0.111 0.666
N2 0.889 0.889 0.334
Hg1 0.000 0.000 0.000
```

Output
Its magnetization is 0.00 μB/f.u. The density of states at the Fermi level is 0.434 states/eV per atom. As for the energy: -0.39817 Ry per atom. The volume is 48.8 Å³/cell.



(2)
The following is a DFT calculation (PBEsol) of a geometry-optimized CrTc2W structure.

The structure in CIF format:
```
data_CrTc2W
_chemical_formula_sum 'Cr1 Tc2 W1'
_cell_length_a 3.034
_cell_length_b 3.034
_cell_length_c 6.031
_cell_angle_alpha 90.00
_cell_angle_beta 90.00
_cell_angle_gamma 90.00
_symmetry_space_group_name_H-M 'P 1'
_symmetry_Int_Tables_number 1
loop_
_symmetry_equiv_pos_as_xyz
'x,y,z'
loop_
_atom_site_label
_atom_site_fract_x
_atom_site_fract_y
_atom_site_fract_z
Tc1 0.000 0.000 0.740
Tc2 0.000 0.000 0.260
W1 0.500 0.500 0.000
Cr1 0.500 0.500 0.500
```

Output
Its magnetization is 1.05 μB/f.u. The density of states at the Fermi level is 1.141 states/eV per atom. The calculation puts the formation energy at 0.38 eV per formula unit. As for the energy: -0.84895 Ry per atom. The volume is 55.5 Å³/cell.